This record from the Alexandria database describes BaScO2F after structural relaxation. The functional is PBE.

a = 4.8386 Å, b = 4.8386 Å, c = 4.7495 Å
α = 90.00°, β = 90.00°, γ = 90.00°
Positions (direct):
Ba: 0.0000 0.0000 0.0000
Sc: 0.5000 0.5000 0.5000
O: 0.0000 0.5000 0.0000
O: 0.5000 0.0000 0.0000
F: 0.0000 0.0000 0.5000

Summary:
Crystal system = tetragonal
Size of the total moment = 0.1 μB/cell
SG = No. 123

---

This record from the Alexandria database describes NiPd2Se4 after structural relaxation. The functional is PBE.

a = 7.3943 Å, b = 7.3943 Å, c = 7.3943 Å
α = 120.87°, β = 119.60°, γ = 89.60°
Positions (direct):
Ni: 0.5000 0.0000 0.0000
Ni: 0.5000 0.5000 0.5000
Pd: 0.0000 0.0000 0.0000
Pd: 0.1207 0.3707 0.7500
Pd: 0.5000 0.0000 0.5000
Pd: 0.8793 0.6293 0.2500
Se: 0.2691 0.2538 0.4847
Se: 0.2691 0.7844 0.0153
Se: 0.2742 0.2421 0.0321
Se: 0.2899 0.7579 0.5321
Se: 0.7101 0.2421 0.4679
Se: 0.7258 0.7579 0.9679
Se: 0.7309 0.2156 0.9847
Se: 0.7309 0.7462 0.5153

Summary:
Crystal system = orthorhombic
Size of the total moment = 0.0 μB/cell
SG = No. 74

---

This record from the Alexandria database describes Sr2Ga2CuNi after structural relaxation. The functional is PBE.

a = 8.4762 Å, b = 8.4762 Å, c = 8.4762 Å
α = 136.32°, β = 63.20°, γ = 136.69°
Positions (direct):
Sr: 0.1578 0.2481 0.4059
Sr: 0.3422 0.7481 0.0903
Sr: 0.6578 0.2519 0.9097
Sr: 0.8422 0.7519 0.5941
Ga: 0.0793 0.7390 0.8183
Ga: 0.4207 0.2390 0.6598
Ga: 0.5793 0.7610 0.3402
Ga: 0.9207 0.2610 0.1817
Cu: 0.2500 0.2500 0.0000
Cu: 0.7500 0.7500 0.0000
Ni: 0.2500 0.7500 0.5000
Ni: 0.7500 0.2500 0.5000

Summary:
DFT formation energy = -1.95 eV/f.u.
Crystal system = orthorhombic
Size of the total moment = 0.0 μB/cell
SG = No. 72

---

This record from the Alexandria database describes LaCe12Th3 after structural relaxation. The functional is PBE.

a = 4.8075 Å, b = 4.8075 Å, c = 19.3265 Å
α = 90.00°, β = 90.00°, γ = 90.00°
Positions (direct):
La: 0.0000 0.0000 0.0000
Ce: 0.0000 0.5000 0.1257
Ce: 0.0000 0.5000 0.3751
Ce: 0.0000 0.5000 0.6249
Ce: 0.0000 0.5000 0.8743
Ce: 0.5000 0.0000 0.1257
Ce: 0.5000 0.0000 0.3751
Ce: 0.5000 0.0000 0.6249
Ce: 0.5000 0.0000 0.8743
Ce: 0.5000 0.5000 0.0000
Ce: 0.5000 0.5000 0.2502
Ce: 0.5000 0.5000 0.5000
Ce: 0.5000 0.5000 0.7498
Th: 0.0000 0.0000 0.2500
Th: 0.0000 0.0000 0.5000
Th: 0.0000 0.0000 0.7500

Summary:
DFT formation energy = 0.37 eV/f.u.
Crystal system = tetragonal
Size of the total moment = 0.0 μB/cell
SG = No. 123

---

This record from the Alexandria database describes Ho2PuRu2 after structural relaxation. The functional is PBE.

a = 5.7956 Å, b = 5.7956 Å, c = 7.7854 Å
α = 100.22°, β = 100.22°, γ = 59.64°
Positions (direct):
Ho: 0.0204 0.2836 0.1508
Ho: 0.2836 0.0204 0.6508
Ho: 0.7164 0.9796 0.3492
Ho: 0.9796 0.7164 0.8492
Pu: 0.3661 0.6339 0.2500
Pu: 0.6339 0.3661 0.7500
Ru: 0.2282 0.5076 0.4914
Ru: 0.4924 0.7718 0.0086
Ru: 0.5076 0.2282 0.9914
Ru: 0.7718 0.4924 0.5086

Summary:
Excess energy over the best structure of this formula in the dataset = 0 meV/atom
DFT formation energy = -1.90 eV/f.u.
Crystal system = monoclinic
Size of the total moment = 8.3 μB/cell
SG = No. 15

---

This record from the Alexandria database describes Sc2FeIrC after structural relaxation. The functional is PBE.

a = 4.5021 Å, b = 4.5021 Å, c = 3.5926 Å
α = 90.00°, β = 90.00°, γ = 90.00°
Positions (direct):
Sc: 0.0000 0.5000 0.0000
Sc: 0.5000 0.0000 0.0000
Fe: 0.0000 0.0000 0.5000
Ir: 0.5000 0.5000 0.5000
C: 0.0000 0.0000 0.0000

Summary:
DFT formation energy = -2.49 eV/f.u.
Crystal system = tetragonal
Size of the total moment = 0.0 μB/cell
SG = No. 123

---

The following calculated total energy values (in eV/cell) correspond, in order, to the records above: -25.951, -64.343, -42.497, -98.023, -87.875, -41.701.